The following is a meta-GGA SCAN calculation of a crystal of Na3NbIn relaxed with PBEsol, from Alexandria via LeMat-Bulk.

Computed properties:
The formation enthalpy at 0 K is 5.2 eV/f.u. The value obtained for the volume is 173.7 Å³/cell. As for the total energy: -73.95 eV for the cell shown. The spin magnetization comes out at 4.09 Bohr magnetons per cell.

abc: 5.5796 5.5796 5.5796
angles: 90.00 90.00 90.00
Last column: nearest neighbours and their distance in Å.
Space group Pm-3m (No. 221)
One atom of each set of equivalent atoms:
Na1 0.0000 0.0000 0.5000 [3 per cell]  2 In 2.79
Nb1 0.5000 0.5000 0.5000 [1 per cell]  12 Na 3.95
In1 0.0000 0.0000 0.0000 [1 per cell]  6 Na 2.79

---

The following is a meta-GGA SCAN calculation of a crystal of NaNb3In relaxed with PBEsol, from Alexandria via LeMat-Bulk.

Computed properties:
The formation enthalpy at 0 K is 9.4 eV/f.u. The value obtained for the volume is 132.1 Å³/cell. As for the total energy: -127.55 eV for the cell shown. The spin magnetization comes out at 0.00 Bohr magnetons per cell.

abc: 5.0928 5.0928 5.0928
angles: 90.00 90.00 90.00
Last column: nearest neighbours and their distance in Å.
Space group Pm-3m (No. 221)
One atom of each set of equivalent atoms:
Na1 0.0000 0.0000 0.0000 [1 per cell]  12 Nb 3.60
Nb1 0.0000 0.5000 0.5000 [3 per cell]  2 In 2.55
In1 0.5000 0.5000 0.5000 [1 per cell]  6 Nb 2.55

---

The following is a meta-GGA SCAN calculation of a crystal of Na2NbInSb relaxed with PBEsol, from Alexandria via LeMat-Bulk.

Computed properties:
As for the uncorrected formation energy: 899 meV per atom. The value obtained for the volume is 172.7 Å³/cell. As for the total energy: -107.71 eV for the cell shown. The spin magnetization comes out at 4.97 Bohr magnetons per cell.

abc: 5.5441 5.5441 5.6185
angles: 90.00 90.00 90.00
Last column: nearest neighbours and their distance in Å.
Space group P4/mmm (No. 123)
One atom of each set of equivalent atoms:
Na1 0.0000 0.5000 0.0000 [2 per cell]  2 Sb 2.77
Nb1 0.0000 0.0000 0.5000 [1 per cell]  4 In 3.92, 8 Na 3.95
In1 0.5000 0.5000 0.5000 [1 per cell]  2 Sb 2.81
Sb1 0.5000 0.5000 0.0000 [1 per cell]  4 Na 2.77, 2 In 2.81

---

The following is a meta-GGA SCAN calculation of a crystal of Na2NbZnIn relaxed with PBEsol, from Alexandria via LeMat-Bulk.

Computed properties:
The formation enthalpy at 0 K is 3.4 eV/f.u. The value obtained for the volume is 117.6 Å³/cell. As for the total energy: -85.04 eV for the cell shown. The spin magnetization comes out at 0.00 Bohr magnetons per cell.

abc: 4.7971 4.7971 5.1123
angles: 90.00 90.00 90.00
Last column: nearest neighbours and their distance in Å.
Space group P4/mmm (No. 123)
One atom of each set of equivalent atoms:
Na1 0.0000 0.5000 0.0000 [2 per cell]  2 Zn 2.40
Nb1 0.0000 0.0000 0.5000 [1 per cell]  2 Zn 2.56
Zn1 0.0000 0.0000 0.0000 [1 per cell]  4 Na 2.40, 2 Nb 2.56
In1 0.5000 0.5000 0.5000 [1 per cell]  4 Nb 3.39, 8 Na 3.51

---

The following is a meta-GGA SCAN calculation of a crystal of NaIn2Ni2 relaxed with PBEsol, from Alexandria via LeMat-Bulk.

Computed properties:
The formation enthalpy at 0 K is -0.4 eV/f.u. The value obtained for the volume is 166.1 Å³/cell. As for the total energy: -207.43 eV for the cell shown. The spin magnetization comes out at 0.00 Bohr magnetons per cell.

abc: 7.5188 7.5188 2.9375
angles: 90.00 90.00 90.00
Last column: nearest neighbours and their distance in Å.
Space group P4/mbm (No. 127)
One atom of each set of equivalent atoms:
Na1 0.0000 0.0000 0.0000 [2 per cell]  2 Na 2.94, 4 Ni 2.95, 8 In 3.17
In1 0.1645 0.3355 0.5000 [4 per cell]  6 Ni 2.64-2.66, 2 In 2.94
Ni1 0.1288 0.6288 0.0000 [4 per cell]  6 In 2.64-2.66, 3 Ni 2.74-2.94, 2 Na 2.95

---

The following is a meta-GGA SCAN calculation of a crystal of Na22In5O15 relaxed with PBEsol, from Alexandria via LeMat-Bulk.

Computed properties:
As for the uncorrected formation energy: -1404 meV per atom. The value obtained for the volume is 1355.3 Å³/cell. As for the total energy: -824.16 eV for the cell shown. The spin magnetization comes out at 2.33 Bohr magnetons per cell.

abc: 11.0811 15.6908 9.5280
angles: 90.00 125.11 90.00
Last column: nearest neighbours and their distance in Å.
Space group Cm (No. 8)
One atom of each set of equivalent atoms:
Na1 0.0000 0.0000 0.0000 [2 per cell]  4 O 2.32-2.50
Na2 0.0003 0.5000 0.5348 [2 per cell]  4 O 2.26-2.47
Na3 0.0215 0.3831 0.7978 [4 per cell]  3 O 2.34-2.53
Na4 0.0619 0.1485 0.2246 [4 per cell]  2 O 2.22-2.25
Na5 0.1082 0.3493 0.3097 [4 per cell]  3 O 2.29-2.35
Na6 0.1990 0.2210 0.5746 [4 per cell]  4 O 2.40-2.63
Na7 0.2238 0.2697 0.0657 [4 per cell]  4 O 2.30-2.48
Na8 0.2608 0.5000 0.0435 [2 per cell]  4 O 2.20-2.33
Na9 0.2662 0.5000 0.5646 [2 per cell]  4 O 2.41-2.50
Na10 0.3039 0.3612 0.8034 [4 per cell]  4 O 2.25-2.51
Na11 0.3265 0.1063 0.2219 [4 per cell]  3 O 2.34-2.57
Na12 0.3852 0.3921 0.3514 [4 per cell]  4 O 2.34-2.55
Na13 0.4233 0.2262 0.5036 [4 per cell]  4 O 2.19-2.39
In1 0.0094 0.5000 0.0765 [2 per cell]  3 O 2.11-2.13
In2 0.0643 0.1435 0.7754 [4 per cell]  3 O 2.09-2.12
In3 0.2029 0.0000 0.4863 [2 per cell]  3 O 2.06-2.08
In4 0.2195 0.0000 0.7909 [2 per cell]  4 In 2.77-2.80
O1 0.0126 0.5000 0.3020 [2 per cell]  1 In 2.13, 1 Na 2.30
O2 0.0800 0.1372 0.0048 [4 per cell]  1 In 2.09, 3 Na 2.22-2.34
O3 0.1385 0.2656 0.7731 [4 per cell]  1 In 2.09, 2 Na 2.25-2.29
O4 0.1438 0.3977 0.1025 [4 per cell]  1 In 2.11, 4 Na 2.30-2.35
O5 0.2257 0.5000 0.7877 [2 per cell]  6 Na 2.24-2.50
O6 0.3138 0.1061 0.4831 [4 per cell]  1 In 2.08, 1 Na 2.19
O7 0.3366 0.3479 0.5724 [4 per cell]  1 In 2.12, 1 Na 2.32
O8 0.4636 0.2557 0.3078 [4 per cell]  6 Na 2.20-2.43
O9 0.4957 0.5000 0.2586 [2 per cell]  1 In 2.06, 1 Na 2.20